Record 1
Compound: Tb6Pm2Dy3Tm
Source: Alexandria
Functional: GGA-PBE
Structure: optimized geometry

## Properties
E_form, eV/atom: 0.015
Uncorrected energy, eV per formula unit: -55.39
Spin magnetization, Bohr magnetons per cell: 0.00

```
data_Tb6Pm2Dy3Tm
_chemical_formula_sum 'Tb12 Pm4 Dy6 Tm2'
_space_group_name_H-M_alt 'C 1 2/m 1'
_space_group_IT_number 12
_space_group_name_Hall '-C 2y'
_cell_length_a 6.172
_cell_length_b 10.683
_cell_length_c 11.820
_cell_angle_alpha 90.00
_cell_angle_beta 99.98
_cell_angle_gamma 90.00
loop_
_atom_site_label
_atom_site_type_symbol
_atom_site_fract_x
_atom_site_fract_y
_atom_site_fract_z
Tb1 Tb 0.248 0.000 0.248
Tb2 Tb 0.250 0.166 0.752
Pm1 Pm 0.000 0.333 0.500
Dy1 Dy 0.000 0.166 0.000
Dy2 Dy 0.000 0.500 0.000
Tm1 Tm 0.000 0.000 0.500
```

=====

Record 2
Compound: Ca5Au2N2
Source: Alexandria
Functional: GGA-PBE
Structure: optimized geometry

## Properties
Uncorrected energy, eV per formula unit: -39.65
Spin magnetization, Bohr magnetons per cell: 0.00
Uncorrected formation energy, meV per atom: -715.5

```
data_Ca5Au2N2
_chemical_formula_sum 'Ca10 Au4 N4'
_space_group_name_H-M_alt 'C 1 2/m 1'
_space_group_IT_number 12
_space_group_name_Hall '-C 2y'
_cell_length_a 14.803
_cell_length_b 4.405
_cell_length_c 7.022
_cell_angle_alpha 90.00
_cell_angle_beta 95.45
_cell_angle_gamma 90.00
loop_
_atom_site_label
_atom_site_type_symbol
_atom_site_fract_x
_atom_site_fract_y
_atom_site_fract_z
Ca1 Ca 0.000 0.000 0.000
Ca2 Ca 0.126 0.000 0.597
Ca3 Ca 0.178 0.500 0.036
Au1 Au 0.029 0.500 0.318
N1 N 0.157 0.000 0.910
```